Entry from the Alexandria database: a relaxed structure of Bi3Ru (GGA-PBE).

Properties
- Energy: -5.01 eV per atom
- DFT formation energy: 221 meV/atom

a b c (Å): 6.9021 6.9021 6.9021
angles (deg): 151.54 54.40 134.67
With the nearest neighbours (Å) after each atom.
Fractional coordinates of all 4 atoms:
1 Bi 0.0000 0.0000 0.0000  2 Ru 2.78
2 Bi 0.3696 0.5445 0.8250  2 Ru 2.82
3 Bi 0.7195 0.5445 0.1750  2 Ru 2.82
4 Ru 0.4147 0.9147 0.5000  6 Bi 2.78-2.82

---

Entry from the Alexandria database: a relaxed structure of LiZnCr (GGA-PBE).

Properties
- Energy: -4.13 eV per atom
- DFT formation energy: 142 meV/atom

a b c (Å): 4.8237 4.8237 5.4408
angles (deg): 109.41 109.41 47.57
With the nearest neighbours (Å) after each atom.
Fractional coordinates of all 6 atoms:
1 Li 0.0000 0.0000 0.0000  5 Cr 2.64-2.86, 4 Zn 2.67-2.73, 3 Li 2.74-2.77
2 Li 0.6644 0.6644 0.8452  5 Zn 2.71-2.80, 3 Li 2.74-2.77, 4 Cr 2.84-2.85
3 Zn 0.3248 0.3248 0.6901  5 Cr 2.66-2.88, 5 Li 2.67-2.80, 2 Zn 2.71
4 Zn 0.6648 0.6648 0.3456  6 Cr 2.63-2.78, 2 Zn 2.71, 4 Li 2.72-2.73
5 Cr 0.3479 0.3479 0.2166  2 Cr 2.44, 2 Zn 2.63-2.66
6 Cr 0.9835 0.9835 0.4749  2 Cr 2.44, 1 Zn 2.64, 1 Li 2.64

---

Entry from the Alexandria database: a relaxed structure of Tb5Tm3Th3 (GGA-PBE).

Properties
- Energy: -4.96 eV per atom
- DFT formation energy: 386 meV/atom

a b c (Å): 11.1380 11.1380 3.4205
angles (deg): 90.00 90.00 120.00
With the nearest neighbours (Å) after each atom.
Fractional coordinates of all 11 atoms:
1 Tb 0.0000 0.1617 0.0000  4 Tb 3.12-3.42, 2 Tm 3.24, 2 Th 3.27
2 Tb 0.1617 0.0000 0.0000  4 Tb 3.12-3.42, 2 Tm 3.24, 2 Th 3.27
3 Tb 0.3333 0.6667 0.0000  2 Tb 3.42, 3 Th 3.68, 6 Tm 3.78
4 Tb 0.6667 0.3333 0.0000  2 Tb 3.42, 3 Th 3.68, 6 Tm 3.78
5 Tb 0.8383 0.8383 0.0000  4 Tb 3.12-3.42, 2 Tm 3.24, 2 Th 3.27
6 Tm 0.0000 0.4083 0.5000  2 Tb 3.24, 2 Th 3.29, 2 Tm 3.42
7 Tm 0.4083 0.0000 0.5000  2 Tb 3.24, 2 Th 3.29, 2 Tm 3.42
8 Tm 0.5917 0.5917 0.5000  2 Tb 3.24, 2 Th 3.29, 2 Tm 3.42
9 Th 0.0000 0.6607 0.0000  2 Tb 3.27, 2 Tm 3.29, 2 Th 3.42
10 Th 0.3393 0.3393 0.0000  2 Tb 3.27, 2 Tm 3.29, 2 Th 3.42
11 Th 0.6607 0.0000 0.0000  2 Tb 3.27, 2 Tm 3.29, 2 Th 3.42

---

Entry from the Alexandria database: a relaxed structure of LaReCl2 (GGA-PBE).

Properties
- Energy: -5.37 eV per atom
- Energy relative to the elements, uncorrected: -9.84 kJ per mole of atoms

a b c (Å): 3.9885 4.0093 5.8070
angles (deg): 90.00 90.00 90.00
With the nearest neighbours (Å) after each atom.
Fractional coordinates of all 4 atoms:
1 La 0.0000 0.0000 0.0000  6 Cl 2.82-3.14
2 Re 0.5000 0.5000 0.2909  6 Cl 2.76-3.05
3 Cl 0.0000 0.0000 0.4860  2 La 2.82-2.98, 4 Re 3.05
4 Cl 0.5000 0.5000 0.7656  2 Re 2.76-3.05